SmGa3Pd (SCAN, PBEsol geometry); DFT formation energy = -0.79 eV per atom; total moment = 0.0 Bohr magnetons per cell; SG = I-4m2 (119)
1.0
-2.0572 2.0572 5.3512
2.0572 -2.0572 5.3512
2.0572 2.0572 -5.3512
Sm Ga Pd
1 3 1
Direct
0.0000 0.0000 0.0000
0.2500 0.7500 0.5000
0.3869 0.3869 0.0000
0.6131 0.6131 0.0000
0.7500 0.2500 0.5000